(1)
This record from Alexandria describes crystalline LiTb2PmS5 at its relaxed geometry. The functional is GGA-PBE.

abc: 3.937 8.432 11.892
angles: 90.00 90.00 103.50
Sites, in units of the cell vectors:
S1 0.710 0.420 0.166
S2 0.501 0.002 0.786
S3 0.309 0.618 0.334
S4 0.499 0.998 0.286
S5 0.957 0.914 0.577
S6 0.290 0.580 0.666
S7 0.365 0.729 0.003
S8 0.635 0.271 0.503
S9 0.691 0.382 0.834
S10 0.043 0.086 0.077
Tb1 0.879 0.759 0.793
Tb2 0.109 0.217 0.683
Tb3 0.121 0.241 0.293
Tb4 0.891 0.783 0.183
Pm1 0.804 0.608 0.499
Pm2 0.196 0.392 0.999
Li1 0.511 0.023 0.984
Li2 0.489 0.977 0.484

Output
Total magnetization = 0.0 μB per formula unit
Density = 5452 kg/m³
Crystal system = orthorhombic
E_form (uncorrected) = -1.85 eV per atom
Total energy = -5.916 eV/atom

---

(2)
This record from Alexandria describes crystalline Li2TbPm3S6 at its relaxed geometry. The functional is GGA-PBE.

abc: 6.859 6.859 6.815
angles: 99.64 99.64 120.00
Sites, in units of the cell vectors:
Li1 0.333 0.667 0.000
Li2 0.667 0.333 0.000
Pm1 0.832 0.168 0.500
Pm2 0.168 0.832 0.500
Pm3 0.500 0.500 0.500
S1 0.079 0.415 0.237
S2 0.744 0.744 0.239
S3 0.415 0.079 0.237
S4 0.585 0.921 0.763
S5 0.256 0.256 0.761
S6 0.921 0.585 0.763
Tb1 0.000 0.000 0.000

Output
Total magnetization = 0.0 μB per formula unit
Density = 5078 kg/m³
Crystal system = monoclinic
E_form (uncorrected) = -1.89 eV per atom
Total energy = -5.845 eV/atom

---

(3)
This record from Alexandria describes crystalline Li3TbPm2S6 at its relaxed geometry. The functional is GGA-PBE.

abc: 6.925 6.925 6.612
angles: 100.02 100.02 120.02
Sites, in units of the cell vectors:
S1 0.756 0.756 0.253
S2 0.085 0.412 0.254
S3 0.915 0.588 0.746
S4 0.588 0.915 0.746
S5 0.412 0.085 0.254
S6 0.244 0.244 0.747
Li1 0.837 0.163 0.500
Li2 0.163 0.837 0.500
Li3 0.500 0.500 0.500
Tb1 0.000 0.000 0.000
Pm1 0.667 0.333 0.000
Pm2 0.333 0.667 0.000

Output
Total magnetization = 0.0 μB per formula unit
Density = 4272 kg/m³
Crystal system = monoclinic
E_form (uncorrected) = -1.81 eV per atom
Total energy = -5.531 eV/atom